This record from Alexandria via LeMat-Bulk describes crystalline Cs2VS5O at its relaxed geometry. The functional is PBE+U.

The calculation puts the total energy at -171.1 eV per cell. Its total magnetization is 0.00 μB per atom.

Unit cell a=7.6368 b=10.6514 c=14.2310 alpha=90.00 beta=109.76 gamma=90.00
Closest atoms and distances in Å follow each position.
Element x y z (fractional)
Cs (0.0039, 0.0270, 0.2348)  2 O 3.06-3.12
Cs (0.0039, 0.4730, 0.7348)  2 O 3.06-3.12
Cs (0.4671, 0.7343, 0.5806)  1 O 3.34, 6 S 3.51-3.71
Cs (0.4671, 0.7657, 0.0806)  1 O 3.34, 6 S 3.51-3.71
Cs (0.5329, 0.2343, 0.9194)  1 O 3.34, 6 S 3.51-3.71
Cs (0.5329, 0.2657, 0.4194)  1 O 3.34, 6 S 3.51-3.71
Cs (0.9961, 0.5270, 0.2652)  2 O 3.06-3.12
Cs (0.9961, 0.9730, 0.7652)  2 O 3.06-3.12
V (0.2540, 0.1920, 0.6202)  1 O 1.66
V (0.2540, 0.3080, 0.1202)  1 O 1.66
V (0.7460, 0.6920, 0.8798)  1 O 1.66
V (0.7460, 0.8080, 0.3798)  1 O 1.66
S (0.0510, 0.2270, 0.9689)  1 S 2.08
S (0.0510, 0.2730, 0.4689)  1 S 2.08
S (0.1399, 0.5061, 0.0488)  1 S 2.12, 1 V 2.38
S (0.1399, 0.9939, 0.5488)  1 S 2.12, 1 V 2.38
S (0.2458, 0.0989, 0.0534)  1 S 2.08
S (0.2458, 0.4011, 0.5534)  1 S 2.08
S (0.4271, 0.7240, 0.8191)  1 S 2.08, 1 V 2.32
S (0.4271, 0.7760, 0.3191)  1 S 2.08, 1 V 2.32
S (0.4985, 0.0430, 0.7065)  1 S 2.08
S (0.4985, 0.4570, 0.2065)  1 S 2.08
S (0.5015, 0.5430, 0.7935)  1 S 2.08
S (0.5015, 0.9570, 0.2935)  1 S 2.08
S (0.5729, 0.2240, 0.6809)  1 S 2.08, 1 V 2.32
S (0.5729, 0.2760, 0.1809)  1 S 2.08, 1 V 2.32
S (0.7542, 0.5989, 0.4466)  1 S 2.08
S (0.7542, 0.9011, 0.9466)  1 S 2.08
S (0.8601, 0.0061, 0.4512)  1 S 2.12, 1 V 2.38
S (0.8601, 0.4939, 0.9512)  1 S 2.12, 1 V 2.38
S (0.9490, 0.7270, 0.5311)  1 S 2.08
S (0.9490, 0.7730, 0.0311)  1 S 2.08
O (0.1645, 0.2171, 0.7098)  1 V 1.66
O (0.1645, 0.2829, 0.2098)  1 V 1.66
O (0.8355, 0.7171, 0.7902)  1 V 1.66
O (0.8355, 0.7829, 0.2902)  1 V 1.66

=====

This record from Alexandria via LeMat-Bulk describes crystalline MnPOF2 at its relaxed geometry. The functional is PBE+U.

The calculation puts the total energy at -26.4 eV per cell. Its total magnetization is 1.13 μB per atom. For the distance to the lowest polymorph of the same formula, the calculation gives 0.0000 eV per atom.

Unit cell a=4.5056 b=4.5056 c=3.4944 alpha=90.00 beta=90.00 gamma=90.00
Closest atoms and distances in Å follow each position.
Element x y z (fractional)
Mn (0.0000, 0.0000, 0.0000)  8 F 2.85, 4 O 3.19
P (0.5000, 0.5000, 0.5000)  2 O 1.75
O (0.5000, 0.5000, 0.0000)  2 P 1.75
F (0.0000, 0.5000, 0.5000)  2 P 2.25
F (0.5000, 0.0000, 0.5000)  2 P 2.25

=====

Question: What is the formula in the second record?
Answer: MnPOF2

=====

Question: Which value of total energy does entry 1 give?
Answer: -171.1 eV per cell

=====

Copy entry 1 word for word.
This record from Alexandria via LeMat-Bulk describes crystalline Cs2VS5O at its relaxed geometry. The functional is PBE+U.

The calculation puts the total energy at -171.1 eV per cell. Its total magnetization is 0.00 μB per atom.

Unit cell a=7.6368 b=10.6514 c=14.2310 alpha=90.00 beta=109.76 gamma=90.00
Closest atoms and distances in Å follow each position.
Element x y z (fractional)
Cs (0.0039, 0.0270, 0.2348)  2 O 3.06-3.12
Cs (0.0039, 0.4730, 0.7348)  2 O 3.06-3.12
Cs (0.4671, 0.7343, 0.5806)  1 O 3.34, 6 S 3.51-3.71
Cs (0.4671, 0.7657, 0.0806)  1 O 3.34, 6 S 3.51-3.71
Cs (0.5329, 0.2343, 0.9194)  1 O 3.34, 6 S 3.51-3.71
Cs (0.5329, 0.2657, 0.4194)  1 O 3.34, 6 S 3.51-3.71
Cs (0.9961, 0.5270, 0.2652)  2 O 3.06-3.12
Cs (0.9961, 0.9730, 0.7652)  2 O 3.06-3.12
V (0.2540, 0.1920, 0.6202)  1 O 1.66
V (0.2540, 0.3080, 0.1202)  1 O 1.66
V (0.7460, 0.6920, 0.8798)  1 O 1.66
V (0.7460, 0.8080, 0.3798)  1 O 1.66
S (0.0510, 0.2270, 0.9689)  1 S 2.08
S (0.0510, 0.2730, 0.4689)  1 S 2.08
S (0.1399, 0.5061, 0.0488)  1 S 2.12, 1 V 2.38
S (0.1399, 0.9939, 0.5488)  1 S 2.12, 1 V 2.38
S (0.2458, 0.0989, 0.0534)  1 S 2.08
S (0.2458, 0.4011, 0.5534)  1 S 2.08
S (0.4271, 0.7240, 0.8191)  1 S 2.08, 1 V 2.32
S (0.4271, 0.7760, 0.3191)  1 S 2.08, 1 V 2.32
S (0.4985, 0.0430, 0.7065)  1 S 2.08
S (0.4985, 0.4570, 0.2065)  1 S 2.08
S (0.5015, 0.5430, 0.7935)  1 S 2.08
S (0.5015, 0.9570, 0.2935)  1 S 2.08
S (0.5729, 0.2240, 0.6809)  1 S 2.08, 1 V 2.32
S (0.5729, 0.2760, 0.1809)  1 S 2.08, 1 V 2.32
S (0.7542, 0.5989, 0.4466)  1 S 2.08
S (0.7542, 0.9011, 0.9466)  1 S 2.08
S (0.8601, 0.0061, 0.4512)  1 S 2.12, 1 V 2.38
S (0.8601, 0.4939, 0.9512)  1 S 2.12, 1 V 2.38
S (0.9490, 0.7270, 0.5311)  1 S 2.08
S (0.9490, 0.7730, 0.0311)  1 S 2.08
O (0.1645, 0.2171, 0.7098)  1 V 1.66
O (0.1645, 0.2829, 0.2098)  1 V 1.66
O (0.8355, 0.7171, 0.7902)  1 V 1.66
O (0.8355, 0.7829, 0.2902)  1 V 1.66